[1]
Material: Dy2ThFe9
Method: DFT, PBE
State: optimized geometry

```
Dy2ThFe9
1.0
2.550 1.472 8.213
-2.550 1.472 8.213
0.000 -2.944 8.213
Dy Th Fe
2 1 9
direct
0.142 0.142 0.142
0.858 0.858 0.858
0.000 0.000 0.000
0.084 0.582 0.582
0.332 0.332 0.332
0.418 0.418 0.916
0.418 0.916 0.418
0.500 0.500 0.500
0.582 0.084 0.582
0.582 0.582 0.084
0.668 0.668 0.668
0.916 0.418 0.418
```

Results
total DFT energy (no corrections) = -93.70 eV per formula unit
N(E_F) = 1.147 states/eV/atom
calculated formation energy = -75.8 meV per atom

---

[2]
Material: DyTiFe10
Method: DFT, PBE
State: optimized geometry

```
DyTiFe10
1.0
3.982 0.000 0.000
0.000 4.837 0.000
0.000 0.000 8.367
Dy Ti Fe
1 1 10
direct
0.000 0.000 0.000
0.000 0.500 0.500
0.000 0.000 0.343
0.000 0.000 0.657
0.000 0.500 0.181
0.000 0.500 0.819
0.500 0.000 0.500
0.500 0.252 0.257
0.500 0.252 0.743
0.500 0.500 0.000
0.500 0.748 0.257
0.500 0.748 0.743
```

Results
total DFT energy (no corrections) = -97.16 eV per formula unit
N(E_F) = 0.970 states/eV/atom
calculated formation energy = -3.3 meV per atom

---

[3]
Material: DyTi2Fe9
Method: DFT, PBE
State: optimized geometry

```
DyTi2Fe9
1.0
2.441 1.409 7.829
-2.441 1.409 7.829
0.000 -2.819 7.829
Dy Ti Fe
1 2 9
direct
0.000 0.000 0.000
0.145 0.145 0.145
0.855 0.855 0.855
0.083 0.589 0.589
0.333 0.333 0.333
0.411 0.411 0.917
0.411 0.917 0.411
0.500 0.500 0.500
0.589 0.083 0.589
0.589 0.589 0.083
0.667 0.667 0.667
0.917 0.411 0.411
```

Results
total DFT energy (no corrections) = -98.68 eV per formula unit
N(E_F) = 0.837 states/eV/atom
calculated formation energy = -177.0 meV per atom

---

[4]
Material: DyTiFe11
Method: DFT, PBE
State: optimized geometry

```
DyTiFe11
1.0
-2.350 4.221 4.250
2.350 -4.221 4.250
2.350 4.221 -4.250
Dy Ti Fe
1 1 11
direct
0.000 0.000 0.000
0.375 0.375 0.000
0.004 0.004 0.499
0.004 0.505 0.000
0.224 0.506 0.718
0.233 0.733 0.500
0.361 0.006 0.356
0.506 0.004 0.000
0.506 0.505 0.501
0.650 0.006 0.644
0.652 0.652 0.000
0.774 0.274 0.500
0.789 0.506 0.282
```

Results
total DFT energy (no corrections) = -106.63 eV per formula unit
N(E_F) = 0.923 states/eV/atom
calculated formation energy = -79.9 meV per atom

---

[5]
Material: Dy5Tl2Fe2
Method: DFT, PBE
State: optimized geometry

```
Dy5Tl2Fe2
1.0
8.475 -3.651 0.000
8.475 3.651 0.000
0.000 0.000 7.319
Dy Tl Fe
10 4 4
direct
0.000 0.000 0.000
0.066 0.700 0.680
0.200 0.566 0.180
0.300 0.934 0.680
0.434 0.800 0.180
0.500 0.500 0.500
0.566 0.200 0.820
0.700 0.066 0.320
0.800 0.434 0.820
0.934 0.300 0.320
0.228 0.228 0.000
0.272 0.272 0.500
0.728 0.728 0.500
0.772 0.772 0.000
0.106 0.894 0.394
0.394 0.606 0.894
0.606 0.394 0.106
0.894 0.106 0.606
```

Results
total DFT energy (no corrections) = -45.94 eV per formula unit
N(E_F) = 1.014 states/eV/atom
calculated formation energy = -141.8 meV per atom

---

[6]
Material: Dy3TlFe
Method: DFT, PBE
State: optimized geometry

```
Dy3TlFe
1.0
8.581 0.000 0.000
0.000 3.821 0.000
-3.729 0.000 7.888
Dy Tl Fe
6 2 2
direct
0.034 0.250 0.220
0.327 0.750 0.569
0.330 0.250 0.895
0.670 0.750 0.105
0.673 0.250 0.431
0.966 0.750 0.780
0.332 0.750 0.198
0.668 0.250 0.802
0.055 0.250 0.568
0.945 0.750 0.432
```

Results
total DFT energy (no corrections) = -25.47 eV per formula unit
N(E_F) = 0.980 states/eV/atom
calculated formation energy = -166.8 meV per atom
ΔE to the lowest computed polymorph = 0.000 eV per atom

---

[7]
Material: DyTlFe4
Method: DFT, PBE
State: optimized geometry

```
DyTlFe4
1.0
0.000 3.596 3.596
3.596 0.000 3.596
3.596 3.596 0.000
Dy Tl Fe
1 1 4
direct
0.000 0.000 0.000
0.250 0.250 0.250
0.124 0.625 0.625
0.625 0.124 0.625
0.625 0.625 0.124
0.625 0.625 0.625
```

Results
total DFT energy (no corrections) = -40.48 eV per formula unit
N(E_F) = 1.076 states/eV/atom
calculated formation energy = 55.7 meV per atom

---

[8]
Material: Dy3TlFe
Method: DFT, PBE
State: optimized geometry

```
Dy3TlFe
1.0
5.138 0.000 0.000
0.000 5.138 0.000
0.000 0.000 5.138
Dy Tl Fe
3 1 1
direct
0.000 0.000 0.500
0.000 0.500 0.000
0.500 0.000 0.000
0.500 0.500 0.500
0.000 0.000 0.000
```

Results
total DFT energy (no corrections) = -24.70 eV per formula unit
N(E_F) = 1.027 states/eV/atom
calculated formation energy = -13.0 meV per atom
ΔE to the lowest computed polymorph = 0.154 eV per atom

---

[9]
Material: Dy6TlFe2
Method: DFT, PBE
State: optimized geometry

```
Dy6TlFe2
1.0
-4.739 4.846 5.011
4.739 -4.846 5.011
4.739 4.846 -5.011
Dy Tl Fe
12 2 4
direct
0.012 0.228 0.784
0.189 0.291 0.480
0.189 0.709 0.898
0.312 0.014 0.702
0.312 0.610 0.298
0.444 0.228 0.216
0.556 0.772 0.784
0.688 0.390 0.702
0.688 0.986 0.298
0.811 0.291 0.102
0.811 0.709 0.520
0.988 0.772 0.216
0.000 0.000 0.000
0.500 0.500 0.000
0.108 0.608 0.500
0.387 0.000 0.387
0.613 0.000 0.613
0.892 0.392 0.500
```

Results
total DFT energy (no corrections) = -48.10 eV per formula unit
N(E_F) = 0.989 states/eV/atom
calculated formation energy = -133.0 meV per atom

---

[10]
Material: Dy12Tl6Fe
Method: DFT, PBE
State: optimized geometry

```
Dy12Tl6Fe
1.0
6.085 3.513 4.409
-6.085 3.513 4.409
0.000 -7.026 4.409
Dy Tl Fe
12 6 1
direct
0.024 0.919 0.694
0.081 0.306 0.976
0.205 0.422 0.542
0.306 0.976 0.081
0.422 0.542 0.205
0.458 0.795 0.578
0.542 0.205 0.422
0.578 0.458 0.795
0.694 0.024 0.919
0.795 0.578 0.458
0.919 0.694 0.024
0.976 0.081 0.306
0.137 0.732 0.353
0.268 0.647 0.863
0.353 0.137 0.732
0.647 0.863 0.268
0.732 0.353 0.137
0.863 0.268 0.647
0.000 0.000 0.000
```

Results
total DFT energy (no corrections) = -80.10 eV per formula unit
N(E_F) = 0.909 states/eV/atom
calculated formation energy = -116.5 meV per atom

---

[11]
Material: Dy2TmFe9
Method: DFT, PBE
State: optimized geometry

```
Dy2TmFe9
1.0
2.535 1.464 8.075
-2.535 1.464 8.075
0.000 -2.928 8.075
Dy Tm Fe
2 1 9
direct
0.142 0.142 0.142
0.858 0.858 0.858
0.000 0.000 0.000
0.081 0.581 0.581
0.333 0.333 0.333
0.419 0.419 0.919
0.419 0.919 0.419
0.500 0.500 0.500
0.581 0.081 0.581
0.581 0.581 0.081
0.667 0.667 0.667
0.919 0.419 0.419
```

Results
total DFT energy (no corrections) = -90.81 eV per formula unit
N(E_F) = 1.249 states/eV/atom
calculated formation energy = -80.8 meV per atom

---

[12]
Material: DyTmFe4
Method: DFT, PBE
State: optimized geometry

```
DyTmFe4
1.0
0.000 3.612 3.612
3.612 0.000 3.612
3.612 3.612 0.000
Dy Tm Fe
1 1 4
direct
0.000 0.000 0.000
0.750 0.750 0.750
0.375 0.375 0.375
0.375 0.375 0.875
0.375 0.875 0.375
0.875 0.375 0.375
```

Results
total DFT energy (no corrections) = -43.59 eV per formula unit
N(E_F) = 1.507 states/eV/atom
calculated formation energy = -111.2 meV per atom

---

[13]
Material: DyTm3Fe8
Method: DFT, PBE
State: optimized geometry

```
DyTm3Fe8
1.0
2.547 1.470 8.297
-2.547 1.470 8.297
0.000 -2.941 8.297
Dy Tm Fe
1 3 8
direct
0.000 0.000 0.000
0.125 0.125 0.125
0.500 0.500 0.500
0.625 0.625 0.625
0.062 0.062 0.561
0.062 0.561 0.062
0.063 0.563 0.563
0.312 0.312 0.312
0.561 0.062 0.062
0.563 0.063 0.563
0.563 0.563 0.063
0.813 0.813 0.813
```

Results
total DFT energy (no corrections) = -87.25 eV per formula unit
N(E_F) = 1.397 states/eV/atom
calculated formation energy = -127.3 meV per atom

---

[14]
Material: DyTmFe
Method: DFT, PBE
State: optimized geometry

```
DyTmFe
1.0
3.374 -5.911 0.000
3.374 5.911 0.000
0.000 0.000 7.260
Dy Tm Fe
4 4 4
direct
0.197 0.803 0.887
0.303 0.697 0.387
0.697 0.303 0.613
0.803 0.197 0.113
0.206 0.294 0.750
0.294 0.206 0.250
0.706 0.794 0.750
0.794 0.706 0.250
0.092 0.908 0.544
0.408 0.592 0.044
0.592 0.408 0.956
0.908 0.092 0.456
```

Results
total DFT energy (no corrections) = -17.44 eV per formula unit
N(E_F) = 1.087 states/eV/atom
calculated formation energy = 30.6 meV per atom
ΔE to the lowest computed polymorph = 0.011 eV per atom

---

[15]
Material: Dy2TmFe
Method: DFT, PBE
State: optimized geometry

```
Dy2TmFe
1.0
1.720 0.993 10.508
-1.720 0.993 10.508
0.000 -1.986 10.508
Dy Tm Fe
2 1 1
direct
0.107 0.107 0.107
0.893 0.893 0.893
0.000 0.000 0.000
0.500 0.500 0.500
```

Results
total DFT energy (no corrections) = -20.76 eV per formula unit
N(E_F) = 1.284 states/eV/atom
calculated formation energy = 344.8 meV per atom
ΔE to the lowest computed polymorph = 0.365 eV per atom

---

[16]
Material: Dy2TmFe
Method: DFT, PBE
State: optimized geometry

```
Dy2TmFe
1.0
7.039 0.000 0.000
0.000 9.115 0.000
0.000 0.000 6.204
Dy Tm Fe
8 4 4
direct
0.174 0.066 0.173
0.174 0.434 0.173
0.326 0.566 0.673
0.326 0.934 0.673
0.674 0.066 0.327
0.674 0.434 0.327
0.826 0.566 0.827
0.826 0.934 0.827
0.048 0.250 0.640
0.452 0.750 0.140
0.548 0.250 0.860
0.952 0.750 0.360
0.111 0.750 0.968
0.389 0.250 0.468
0.611 0.750 0.532
0.889 0.250 0.032
```

Results
total DFT energy (no corrections) = -22.22 eV per formula unit
N(E_F) = 0.856 states/eV/atom
calculated formation energy = -20.4 meV per atom
ΔE to the lowest computed polymorph = 0.000 eV per atom

---

[17]
Material: DyTm2Fe9
Method: DFT, PBE
State: optimized geometry

```
DyTm2Fe9
1.0
2.528 1.460 8.016
-2.528 1.460 8.016
0.000 -2.919 8.016
Dy Tm Fe
1 2 9
direct
0.000 0.000 0.000
0.142 0.142 0.142
0.858 0.858 0.858
0.082 0.582 0.582
0.333 0.333 0.333
0.418 0.418 0.918
0.418 0.918 0.418
0.500 0.500 0.500
0.582 0.082 0.582
0.582 0.582 0.082
0.667 0.667 0.667
0.918 0.418 0.418
```

Results
total DFT energy (no corrections) = -90.98 eV per formula unit
N(E_F) = 1.082 states/eV/atom
calculated formation energy = -105.6 meV per atom

---

[18]
Material: DyTmFe
Method: DFT, PBE
State: optimized geometry

```
DyTmFe
1.0
-1.650 1.650 6.340
1.650 -1.650 6.340
1.650 1.650 -6.340
Dy Tm Fe
1 1 1
direct
0.000 0.000 0.000
0.748 0.748 0.000
0.372 0.372 0.000
```

Results
total DFT energy (no corrections) = -17.48 eV per formula unit
N(E_F) = 0.544 states/eV/atom
calculated formation energy = 19.8 meV per atom
ΔE to the lowest computed polymorph = 0.000 eV per atom

---

[19]
Material: Dy2TmFe
Method: DFT, PBE
State: optimized geometry

```
Dy2TmFe
1.0
3.351 0.000 0.000
0.000 3.351 0.000
0.000 0.000 8.886
Dy Tm Fe
2 1 1
direct
0.000 0.000 0.181
0.000 0.000 0.819
0.500 0.500 0.500
0.500 0.500 0.000
```

Results
total DFT energy (no corrections) = -21.70 eV per formula unit
N(E_F) = 1.159 states/eV/atom
calculated formation energy = 110.0 meV per atom
ΔE to the lowest computed polymorph = 0.130 eV per atom

---

[20]
Material: Dy3TmFe8
Method: DFT, PBE
State: optimized geometry

```
Dy3TmFe8
1.0
2.561 1.479 8.346
-2.561 1.479 8.346
0.000 -2.957 8.346
Dy Tm Fe
3 1 8
direct
0.000 0.000 0.000
0.125 0.125 0.125
0.500 0.500 0.500
0.625 0.625 0.625
0.061 0.563 0.563
0.063 0.063 0.564
0.063 0.564 0.063
0.312 0.312 0.312
0.563 0.061 0.563
0.563 0.563 0.061
0.564 0.063 0.063
0.813 0.813 0.813
```

Results
total DFT energy (no corrections) = -87.13 eV per formula unit
N(E_F) = 1.431 states/eV/atom
calculated formation energy = -96.3 meV per atom

---

[21]
Material: DyTmFe10
Method: DFT, PBE
State: optimized geometry

```
DyTmFe10
1.0
3.945 0.000 0.000
0.000 4.977 0.000
0.000 0.000 8.587
Dy Tm Fe
1 1 10
direct
0.000 0.000 0.000
0.000 0.500 0.500
0.000 0.000 0.335
0.000 0.000 0.665
0.000 0.500 0.168
0.000 0.500 0.832
0.500 0.000 0.500
0.500 0.251 0.252
0.500 0.251 0.748
0.500 0.500 0.000
0.500 0.749 0.252
0.500 0.749 0.748
```

Results
total DFT energy (no corrections) = -94.42 eV per formula unit
N(E_F) = 0.872 states/eV/atom
calculated formation energy = -59.8 meV per atom